No. 1
This record from Alexandria describes an optimized crystal structure of ZnBiAsSe2. The functional is PBE.

Computed properties:
- Offset from the most stable computed form: 0.0 meV per atom
- Formation energy (no corrections): 301 meV/atom

Geometry as POSCAR:
```
ZnBiAsSe2
1.0
-0.9971 -4.8087 -0.7290
4.4277 -1.2054 1.8951
-1.9694 -0.2637 4.4335
Zn As Bi Se
1 1 1 2
Cartesian
0.0000 0.0000 0.0000
-0.9847 -0.1319 2.2167
0.7306 -3.1389 2.7998
2.2139 -0.6027 0.9475
-0.4985 -2.4043 -0.3645
```


No. 2
This record from Alexandria describes an optimized crystal structure of SrWAu. The functional is PBE.

Computed properties:
- Offset from the most stable computed form: 12.1 meV per atom
- Formation enthalpy at 0 K: 655 meV per atom

Geometry as POSCAR:
```
SrWAu
1.0
6.3508 0.0069 -0.0005
4.3144 4.6603 0.0005
-5.0076 -3.0763 2.4069
Au Sr W
1 1 1
Cartesian
0.4292 0.1878 0.0000
3.5963 1.5738 0.0000
6.6397 2.9056 0.0000
```


No. 3
This record from Alexandria describes an optimized crystal structure of LaSm2Te. The functional is PBE.

Computed properties:
- Offset from the most stable computed form: 91.6 meV per atom
- Formation energy (no corrections): -604 meV/atom

Geometry as POSCAR:
```
LaSm2Te
1.0
3.9634 0.0000 0.0000
0.0000 3.9634 0.0000
0.0000 0.0000 8.0008
Te Sm La
1 2 1
Cartesian
1.9817 1.9817 4.0004
0.0000 0.0000 5.7399
0.0000 0.0000 2.2608
1.9817 1.9817 0.0000
```